DFT (PBE) results for a geometry-optimized Pr5DyTm4 structure.

Output
The symmetry is No. 123. The density of states at the Fermi level is 13.84 states/eV/cell. The calculation puts the formation enthalpy at 0 K at 0.020 eV per atom. The total magnetization is 0.0 μB/cell.

Unit cell a=3.6318 b=3.6318 c=25.1276 alpha=90.00 beta=90.00 gamma=90.00
Atoms (fractional coordinates):
Pr1 0.0000 0.0000 0.0000
Pr2 0.0000 0.0000 0.1990
Pr3 0.0000 0.0000 0.3985
Pr4 0.0000 0.0000 0.6015
Pr5 0.0000 0.0000 0.8010
Dy1 0.5000 0.5000 0.5000
Tm1 0.5000 0.5000 0.0995
Tm2 0.5000 0.5000 0.2986
Tm3 0.5000 0.5000 0.7014
Tm4 0.5000 0.5000 0.9005